First-principles (PBE-GGA) data for a geometry-optimized LuZr structure, as listed in OQMD via LeMat-Bulk.

a = 6.7673 Å, b = 6.7673 Å, c = 5.2681 Å
α = 90.00°, β = 90.00°, γ = 120.00°
Positions (direct):
Lu1 0.0000 0.0000 0.0000
Lu2 0.3402 0.1701 0.5000
Lu3 0.8299 0.1701 0.5000
Lu4 0.8299 0.6599 0.5000
Zr1 0.0163 0.5082 0.0000
Zr2 0.3333 0.6667 0.5000
Zr3 0.4918 0.5082 0.0000
Zr4 0.4918 0.9837 0.0000

Energy relative to the elements (meV per atom): 30
Magnetization (μB per formula unit): 0.1



First-principles (PBE-GGA) data for a geometry-optimized LuZr structure, as listed in OQMD via LeMat-Bulk.

a = 5.2795 Å, b = 3.3519 Å, c = 5.8530 Å
α = 90.00°, β = 90.00°, γ = 90.00°
Positions (direct):
Lu1 0.2500 0.0000 0.1700
Lu2 0.7500 0.0000 0.8300
Zr1 0.2500 0.5000 0.6550
Zr2 0.7500 0.5000 0.3450

Energy relative to the elements (meV per atom): 26
Magnetization (μB per formula unit): 0.0



First-principles (PBE-GGA) data for a geometry-optimized LuZr3 structure, as listed in OQMD via LeMat-Bulk.

a = 6.5842 Å, b = 6.5842 Å, c = 5.2305 Å
α = 90.00°, β = 90.00°, γ = 120.00°
Positions (direct):
Lu1 0.3333 0.6667 0.2500
Lu2 0.6667 0.3333 0.7500
Zr1 0.1646 0.3292 0.7500
Zr2 0.1646 0.8354 0.7500
Zr3 0.3292 0.1646 0.2500
Zr4 0.6708 0.8354 0.7500
Zr5 0.8354 0.1646 0.2500
Zr6 0.8354 0.6708 0.2500

Energy relative to the elements (meV per atom): 2
E above lowest polymorph (kcal/mol of atoms): 0.00
Magnetization (μB per formula unit): 0.0



First-principles (PBE-GGA) data for a geometry-optimized LuZr2 structure, as listed in OQMD via LeMat-Bulk.

a = 8.2699 Å, b = 8.2699 Å, c = 8.2699 Å
α = 60.00°, β = 60.00°, γ = 60.00°
Positions (direct):
Lu1 0.1250 0.1250 0.1250
Lu2 0.8750 0.8750 0.8750
Zr1 0.0000 0.0000 0.0000
Zr2 0.0000 0.0000 0.5000
Zr3 0.0000 0.5000 0.0000
Zr4 0.5000 0.0000 0.0000

Energy relative to the elements (meV per atom): 3414
Magnetization (μB per formula unit): 0.0



First-principles (PBE-GGA) data for a geometry-optimized LuZr structure, as listed in OQMD via LeMat-Bulk.

a = 5.2685 Å, b = 6.7983 Å, c = 5.8294 Å
α = 90.00°, β = 90.00°, γ = 90.00°
Positions (direct):
Lu1 0.0000 0.0000 0.0000
Lu2 0.0000 0.2622 0.5167
Lu3 0.0000 0.7378 0.5167
Lu4 0.5000 0.0000 0.3514
Zr1 0.0000 0.5000 0.0205
Zr2 0.5000 0.2710 0.8525
Zr3 0.5000 0.5000 0.3273
Zr4 0.5000 0.7290 0.8525

Energy relative to the elements (meV per atom): 21
Magnetization (μB per formula unit): 0.0



First-principles (PBE-GGA) data for a geometry-optimized LuZr structure, as listed in OQMD via LeMat-Bulk.

a = 6.8357 Å, b = 5.7513 Å, c = 5.2731 Å
α = 90.00°, β = 90.00°, γ = 90.00°
Positions (direct):
Lu1 0.1387 0.0719 0.2500
Lu2 0.1387 0.4281 0.7500
Lu3 0.8613 0.5719 0.2500
Lu4 0.8613 0.9281 0.7500
Zr1 0.3907 0.5926 0.2500
Zr2 0.3907 0.9074 0.7500
Zr3 0.6093 0.0926 0.2500
Zr4 0.6093 0.4074 0.7500

Energy relative to the elements (meV per atom): 7
Magnetization (μB per formula unit): 0.0